(1)
Density functional theory data (GGA-PBE) for LiMg3Zn after structural relaxation.

Output
The space-group type is No. 63.

Geometry as POSCAR:
```
LiMg3Zn
1.0
-0.435 -3.368 -3.161
4.465 -1.118 0.578
-2.486 -7.424 4.848
Mg Li Zn
6 2 2
Cartesian
-0.378 -5.929 0.758
-1.244 -8.119 3.211
2.941 -2.606 0.165
0.481 -3.756 -1.676
0.782 -10.338 1.892
2.075 -4.796 2.618
0.271 -3.154 1.117
1.427 -7.571 2.260
-1.018 -8.684 0.377
2.281 -5.409 -0.162
```

(2)
Density functional theory data (GGA-PBE) for Li3MgZn4 after structural relaxation.

Output
The space-group type is No. 44.

Geometry as POSCAR:
```
Li3MgZn4
1.0
5.857 -0.357 -0.702
-3.195 4.922 0.702
-3.058 -1.275 4.894
Li Zn Mg
3 4 1
Cartesian
-0.048 3.086 1.812
2.334 -1.361 3.495
0.135 -0.079 3.806
-2.946 3.252 2.069
-1.255 0.732 1.686
1.576 0.606 1.367
-4.527 2.640 4.614
-2.217 1.293 4.159
```

(3)
Density functional theory data (GGA-PBE) for LiMg6Zn2 after structural relaxation.

Output
The space-group type is No. 164.

Geometry as POSCAR:
```
LiMg6Zn2
1.0
-1.775 -4.206 1.591
2.727 2.730 2.913
-7.218 4.136 2.880
Mg Li Zn
6 1 2
Cartesian
-0.337 -0.739 5.018
-5.930 3.398 2.367
-7.197 2.072 4.794
0.931 0.587 2.590
-4.671 0.625 3.786
-1.595 2.034 3.598
-3.609 2.068 1.440
-3.936 3.376 4.533
-2.330 -0.717 2.852
```

(4)
Density functional theory data (GGA-PBE) for LiMgZn3 after structural relaxation.

Output
The space-group type is No. 166.

Geometry as POSCAR:
```
LiMgZn3
1.0
-0.259 -2.011 4.735
-0.339 -5.103 0.616
7.346 -2.848 1.994
Zn Mg Li
6 2 2
Cartesian
1.438 -5.037 2.141
1.309 -6.043 4.511
5.439 -3.918 2.835
5.270 -6.471 3.143
5.310 -4.924 5.205
1.479 -3.490 4.202
3.719 -7.386 5.472
3.029 -2.575 1.874
6.459 -7.559 5.548
0.290 -2.402 1.798
```

(5)
Density functional theory data (GGA-PBE) for Li3MgZn8 after structural relaxation.

Output
The space-group type is No. 160.

Geometry as POSCAR:
```
Li3MgZn8
1.0
4.908 0.000 1.482
2.231 4.372 1.482
-0.040 -0.024 9.003
Mg Zn Li
1 8 3
Cartesian
6.227 3.814 5.985
6.663 4.081 8.993
4.240 4.104 3.697
4.873 2.985 10.468
5.582 1.912 3.697
5.543 1.885 8.249
4.198 4.081 8.249
3.121 1.912 2.954
1.318 0.807 4.505
3.538 2.167 6.021
-0.029 -0.018 8.966
2.643 1.618 8.987
```

(6)
Density functional theory data (GGA-PBE) for LiMg4Zn after structural relaxation.

Output
The space-group type is No. 62.

Geometry as POSCAR:
```
LiMg4Zn
1.0
3.204 0.000 0.000
0.000 8.257 0.000
0.000 0.000 18.509
Mg Zn Li
16 4 4
Cartesian
0.801 0.908 6.060
2.403 7.349 12.448
0.801 5.062 17.309
2.403 3.714 10.541
2.403 3.195 1.200
0.801 0.414 1.287
0.801 0.491 14.706
0.801 4.543 7.968
2.403 7.324 8.055
0.801 4.619 13.057
2.403 7.843 17.222
0.801 5.037 3.194
2.403 7.766 3.803
0.801 0.933 10.454
2.403 3.638 5.451
2.403 3.220 15.315
2.403 2.003 12.763
2.403 6.132 15.000
0.801 6.254 5.746
0.801 2.125 3.509
0.801 2.063 17.420
2.403 2.066 8.166
0.801 6.191 10.343
2.403 6.194 1.089
```

(7)
Density functional theory data (GGA-PBE) for Li4Mg3Zn2 after structural relaxation.

Output
The space-group type is No. 12.

Geometry as POSCAR:
```
Li4Mg3Zn2
1.0
4.674 0.000 0.000
-2.337 4.937 0.109
0.000 -2.003 6.974
Zn Li Mg
2 4 3
Cartesian
2.337 1.264 4.811
0.000 1.670 2.272
2.337 1.790 0.068
0.000 1.144 7.014
0.000 -0.035 4.494
2.337 2.969 2.588
0.000 0.000 0.000
0.000 3.004 4.798
2.337 -0.070 2.284
```

(8)
Density functional theory data (GGA-PBE) for LiMg2Zn5 after structural relaxation.

Output
The space-group type is No. 139.

Geometry as POSCAR:
```
LiMg2Zn5
1.0
4.359 0.000 0.000
0.000 4.359 0.000
-2.180 -2.180 6.847
Zn Li Mg
5 1 2
Cartesian
2.180 0.000 1.544
2.180 0.000 5.303
2.180 2.180 0.000
0.000 2.180 5.303
0.000 2.180 1.544
0.000 0.000 0.000
0.000 0.000 3.426
2.180 2.180 3.421
```

(9)
Density functional theory data (GGA-PBE) for LiMgZn3 after structural relaxation.

Output
The space-group type is No. 11.

Geometry as POSCAR:
```
LiMgZn3
1.0
-0.921 -4.358 0.728
6.013 -0.512 4.544
-3.808 1.264 2.749
Zn Mg Li
6 2 2
Cartesian
-0.818 -0.085 1.937
1.590 -2.347 5.433
4.269 -2.922 5.379
0.639 0.004 4.309
1.861 -0.660 1.883
-0.996 -1.747 5.755
-2.619 -1.801 3.377
2.262 0.058 6.687
0.146 -2.422 3.157
3.305 -0.585 4.159
```

(10)
Density functional theory data (GGA-PBE) for Li8Mg2Zn3 after structural relaxation.

Output
The space-group type is No. 2.

Geometry as POSCAR:
```
Li8Mg2Zn3
1.0
-0.387 -0.184 2.910
-7.339 -5.705 -3.045
7.034 -4.908 0.449
Li Mg Zn
8 2 3
Cartesian
1.297 -1.942 0.047
-1.989 -8.856 0.268
-3.901 -6.812 -1.149
2.731 -6.743 1.171
-3.423 -4.055 -0.856
3.209 -3.986 1.464
-1.284 -3.012 1.041
0.592 -7.786 -0.727
-1.665 -5.997 0.690
0.973 -4.801 -0.376
4.974 -5.723 0.071
-0.194 -0.092 1.455
-5.666 -5.075 0.243
```

| no. | energy of formation from the pure elements (eV per atom) | electronic total energy (eV per atom) |
| --- | --- | --- |
| 1 | -0.0937 | -1.6880 |
| 2 | -0.0578 | -1.6117 |
| 3 | -0.0492 | -1.6080 |
| 4 | -0.0774 | -1.5434 |
| 5 | -0.1643 | -1.6250 |
| 6 | -0.0353 | -1.6297 |
| 7 | -0.1066 | -1.7719 |
| 8 | -0.0977 | -1.5318 |
| 9 | -0.1324 | -1.5985 |
| 10 | -0.0785 | -1.7955 |